Model A:
PmTmSi4: relaxed, PBE.

Unit cell a=7.566 b=7.566 c=7.566 alpha=90.00 beta=90.00 gamma=90.00
Space group F-43m (No. 216)
Asymmetric unit:
Pm1 0.000 0.000 0.000
Tm1 0.250 0.250 0.250
Si1 0.123 0.123 0.623

- DOS(E_F) (states/eV/f.u.) = 4.1

---

Model B:
PmTmSi4: relaxed, PBE.

Unit cell a=8.269 b=14.583 c=4.064 alpha=90.00 beta=90.00 gamma=90.00
Space group Pbam (No. 55)
Asymmetric unit:
Pm1 0.114 0.137 0.000
Tm1 0.140 0.413 0.000
Si1 0.026 0.294 0.500
Si2 0.121 0.559 0.500
Si3 0.127 0.965 0.500
Si4 0.190 0.805 0.500

- DOS(E_F) (states/eV/f.u.) = 2.0

---

Of them, model B has the highest stability.

---

Model A:
PmYSi: relaxed, PBE.

Unit cell a=4.334 b=6.468 c=11.617 alpha=90.00 beta=90.00 gamma=90.00
Space group Immm (No. 71)
Asymmetric unit:
Pm1 0.000 0.000 0.209
Y1 0.000 0.243 0.500
Si1 0.000 0.500 0.116

- DOS(E_F) (states/eV/f.u.) = 3.0

---

Model B:
PmYSi: relaxed, PBE.

Unit cell a=6.963 b=6.963 c=6.963 alpha=90.00 beta=90.00 gamma=90.00
Space group F-43m (No. 216)
Asymmetric unit:
Pm1 0.000 0.000 0.000
Y1 0.000 0.000 0.500
Si1 0.250 0.250 0.250

- DOS(E_F) (states/eV/f.u.) = 2.4

---

Model C:
PmYSi: relaxed, PBE.

Unit cell a=4.6866 b=4.6866 c=4.2626 alpha=90.00 beta=90.00 gamma=120.00
Space group P3m1 (No. 156)
Asymmetric unit:
Pm1 0.0000 0.0000 0.0000
Y1 0.6667 0.3333 0.5286
Si1 0.3333 0.6667 0.3430

- DOS(E_F) (states/eV/f.u.) = 1.8

---

Of them, model B has the highest stability.

---

Model A:
PmZnSi: relaxed, PBE.

Unit cell a=4.1636 b=4.1636 c=8.3717 alpha=90.00 beta=90.00 gamma=120.00
Space group P6_3/mmc (No. 194)
Asymmetric unit:
Pm1 0.0000 0.0000 0.0000
Zn1 0.3333 0.6667 0.2500
Si1 0.3333 0.6667 0.7500

- DOS(E_F) (states/eV/f.u.) = 1.9

---

Model B:
PmZnSi: relaxed, PBE.

Unit cell a=6.402 b=6.402 c=6.402 alpha=90.00 beta=90.00 gamma=90.00
Space group F-43m (No. 216)
Asymmetric unit:
Pm1 0.000 0.000 0.000
Zn1 0.250 0.250 0.250
Si1 0.000 0.000 0.500

- DOS(E_F) (states/eV/f.u.) = 1.6

---

Model C:
PmZnSi: relaxed, PBE.

Unit cell a=4.669 b=7.730 c=15.612 alpha=90.00 beta=90.00 gamma=90.00
Space group Fmmm (No. 69)
Asymmetric unit:
Pm1 0.000 0.000 0.124
Zn1 0.000 0.167 0.500
Si1 0.250 0.250 0.250

- DOS(E_F) (states/eV/f.u.) = 2.7

---

Of them, model A has the highest stability.

---

Model A:
Pm2ZnSi2: relaxed, PBE.

Unit cell a=10.942 b=4.278 c=10.688 alpha=90.00 beta=118.52 gamma=90.00
Space group C2/m (No. 12)
Asymmetric unit:
Pm1 0.109 0.000 0.413
Pm2 0.212 0.500 0.151
Zn1 0.051 0.500 0.809
Si1 0.037 0.000 0.913
Si2 0.113 0.500 0.613

- DOS(E_F) (states/eV/f.u.) = 3.3

---

Model B:
Pm2ZnSi2: relaxed, PBE.

Unit cell a=7.123 b=7.123 c=4.353 alpha=90.00 beta=90.00 gamma=90.00
Space group P4/mbm (No. 127)
Asymmetric unit:
Pm1 0.180 0.320 0.000
Zn1 0.000 0.000 0.500
Si1 0.119 0.619 0.500

- DOS(E_F) (states/eV/f.u.) = 2.1

---

Of them, model A has the highest stability.

---

Model A:
Pm3Zn2Si4: relaxed, PBE.

Unit cell a=11.081 b=4.138 c=8.514 alpha=90.00 beta=109.62 gamma=90.00
Space group C2/m (No. 12)
Asymmetric unit:
Pm1 0.000 0.000 0.000
Pm2 0.121 0.500 0.690
Zn1 0.177 0.500 0.327
Si1 0.095 0.000 0.403
Si2 0.223 0.500 0.057

- DOS(E_F) (states/eV/f.u.) = 4.7

---

Model B:
Pm3Zn2Si4: relaxed, PBE.

Unit cell a=10.978 b=4.131 c=8.233 alpha=90.00 beta=99.75 gamma=90.00
Space group C2/m (No. 12)
Asymmetric unit:
Pm1 0.000 0.000 0.000
Pm2 0.165 0.500 0.670
Zn1 0.110 0.500 0.279
Si1 0.059 0.000 0.393
Si2 0.220 0.500 0.053

- DOS(E_F) (states/eV/f.u.) = 3.5

---

Of them, model B has the highest stability.

---

Model A:
Pm3ZnSi3: relaxed, PBE.

Unit cell a=4.009 b=4.323 c=18.239 alpha=90.00 beta=90.00 gamma=90.00
Space group Imm2 (No. 44)
Asymmetric unit:
Pm1 0.000 0.000 0.000
Pm2 0.000 0.000 0.370
Pm3 0.000 0.500 0.690
Zn1 0.000 0.500 0.119
Si1 0.000 0.000 0.545
Si2 0.000 0.000 0.828
Si3 0.000 0.500 0.250

- DOS(E_F) (states/eV/f.u.) = 4.6

---

Model B:
Pm3ZnSi3: relaxed, PBE.

Unit cell a=8.6456 b=8.6456 c=5.9484 alpha=90.00 beta=90.00 gamma=120.00
Space group P6_3/m (No. 176)
Asymmetric unit:
Pm1 0.0585 0.6974 0.2500
Zn1 0.3333 0.6667 0.7500
Si1 0.0594 0.6893 0.7500

- DOS(E_F) (states/eV/f.u.) = 4.8

---

Of them, model A has the highest stability.

---

Model A:
PmZrSi: relaxed, PBE.

Unit cell a=4.232 b=4.232 c=8.017 alpha=90.00 beta=90.00 gamma=90.00
Space group P4/nmm (No. 129, origin choice 2)
Asymmetric unit:
Pm1 0.250 0.250 0.149
Zr1 0.250 0.750 0.500
Si1 0.250 0.250 0.746

- DOS(E_F) (states/eV/f.u.) = 3.6

---

Model B:
PmZrSi: relaxed, PBE.

Unit cell a=9.284 b=9.641 c=8.113 alpha=90.00 beta=124.83 gamma=90.00
Space group C2/c (No. 15)
Asymmetric unit:
Pm1 0.120 0.125 0.489
Zr1 0.125 0.375 0.000
Si1 0.000 0.146 0.750
Si2 0.000 0.396 0.250

- DOS(E_F) (states/eV/f.u.) = 2.3

---

Of them, model A has the highest stability.

---

Model A:
Pm13Sm2: relaxed, PBE.

Unit cell a=7.1880 b=7.1880 c=35.3625 alpha=90.00 beta=90.00 gamma=120.00
Space group R-3m (No. 166, hexagonal axes)
Asymmetric unit:
Pm1 0.0000 0.0000 0.0000
Pm2 0.0013 0.5007 0.7902
Pm3 0.0022 0.5011 0.9553
Sm1 0.0000 0.0000 0.2062

- DOS(E_F) (states/eV/f.u.) = 22.2

---

Model B:
Pm13Sm2: relaxed, PBE.

Unit cell a=6.769 b=9.131 c=9.134 alpha=66.48 beta=82.31 gamma=82.31
Space group P-1 (No. 2)
Asymmetric unit:
Pm1 0.000 0.000 0.000
Pm2 0.100 0.434 0.766
Pm3 0.199 0.199 0.201
Pm4 0.300 0.632 0.968
Pm5 0.301 0.966 0.634
Pm6 0.400 0.400 0.401
Pm7 0.499 0.167 0.833
Sm1 0.100 0.768 0.433

- DOS(E_F) (states/eV/f.u.) = 22.7

---

Of them, model B has the highest stability.

---

Model A:
PmSm3: relaxed, PBE.

Unit cell a=8.169 b=8.169 c=8.169 alpha=90.00 beta=90.00 gamma=90.00
Space group Fm-3m (No. 225)
Asymmetric unit:
Pm1 0.000 0.000 0.000
Sm1 0.000 0.000 0.500
Sm2 0.250 0.250 0.250

- DOS(E_F) (states/eV/f.u.) = 10.8

---

Model B:
PmSm3: relaxed, PBE.

Unit cell a=7.3669 b=7.3669 c=5.8399 alpha=90.00 beta=90.00 gamma=120.00
Space group P6_3/mmc (No. 194)
Asymmetric unit:
Pm1 0.3333 0.6667 0.2500
Sm1 0.1665 0.3331 0.7500

- DOS(E_F) (states/eV/f.u.) = 7.0

---

Model C:
PmSm3: relaxed, PBE.

Unit cell a=3.673 b=5.868 c=6.363 alpha=90.00 beta=90.00 gamma=90.00
Space group Pmm2 (No. 25)
Asymmetric unit:
Pm1 0.000 0.000 0.000
Sm1 0.000 0.500 0.333
Sm2 0.500 0.000 0.500
Sm3 0.500 0.500 0.833

- DOS(E_F) (states/eV/f.u.) = 7.3

---

Of them, model B has the highest stability.

---

Model A:
PmSm3: relaxed, PBE.

Unit cell a=3.669 b=11.738 c=6.360 alpha=90.00 beta=90.00 gamma=90.00
Space group Imm2 (No. 44)
Asymmetric unit:
Pm1 0.000 0.000 0.000
Sm1 0.000 0.250 0.669
Sm2 0.000 0.500 0.000

- DOS(E_F) (states/eV/f.u.) = 7.0

---

Model B:
PmSm3: relaxed, PBE.

Unit cell a=5.128 b=5.128 c=10.326 alpha=90.00 beta=90.00 gamma=90.00
Space group I4/mmm (No. 139)
Asymmetric unit:
Pm1 0.000 0.000 0.000
Sm1 0.000 0.000 0.500
Sm2 0.000 0.500 0.250

- DOS(E_F) (states/eV/f.u.) = 5.6

---

Of them, model B has the highest stability.